# 1
VASP calculation (GGA-PBE) on a relaxed structure of SiHg2Pb.

**Excess energy over the best structure of this formula in the dataset**: 56 meV/atom
**Mass density**: 10.48 g/cm3
**Uncorrected formation energy**: 0.320 eV per atom
**VASP energy**: -2.113 eV per atom

Cell lengths 3.4469, 3.4469, 8.4847 Å; angles 90.00, 90.00, 90.00 degrees
Last column: nearest neighbours and their distance in Å.
Space group P4mm (No. 99)
Inequivalent atoms, fractional coordinates:
Si: 0.0000 0.0000 0.0000 (multiplicity 1)  4 Hg 2.97, 4 Pb 3.09
Hg: 0.0000 0.0000 0.4649 (multiplicity 1)  8 Hg 3.32-3.45, 4 Pb 3.60
Hg: 0.5000 0.5000 0.1990 (multiplicity 1)  4 Si 2.97
Pb: 0.5000 0.5000 0.7768 (multiplicity 1)  4 Si 3.09, 4 Pb 3.45

# 2
VASP calculation (GGA-PBE) on a relaxed structure of Cs3Li2CuI6.

**Mass density**: 3.37 g/cm3
**Uncorrected formation energy**: -1.066 eV per atom
**VASP energy**: -2.714 eV per atom

Cell lengths 8.5396, 8.5396, 9.6632 Å; angles 90.00, 90.00, 120.00 degrees
Last column: nearest neighbours and their distance in Å.
Space group P-3m1 (No. 164)
Inequivalent atoms, fractional coordinates:
Cs: 0.0000 0.0000 0.0000 (multiplicity 1)  6 I 3.84
Cs: 0.3333 0.6667 0.6385 (multiplicity 2)  1 Li 3.69, 3 I 4.06
Li: 0.3333 0.6667 0.2571 (multiplicity 2)  3 I 2.63
Cu: 0.0000 0.0000 0.5000 (multiplicity 1)  6 I 2.96
I: 0.1590 0.3181 0.3135 (multiplicity 6)  1 Li 2.63

# 3
VASP calculation (GGA-PBE) on a relaxed structure of Tb2Sm3PuN6.

**Mass density**: 9.76 g/cm3
**Uncorrected formation energy**: -1.504 eV per atom
**VASP energy**: -8.812 eV per atom

Cell lengths 6.1114, 10.5752, 6.1246 Å; angles 90.00, 109.46, 90.00 degrees
Last column: nearest neighbours and their distance in Å.
Space group C2/m (No. 12)
Inequivalent atoms, fractional coordinates:
Tb: 0.0000 0.1664 0.0000 (multiplicity 4)  6 N 2.48-2.49
Sm: 0.0000 0.0000 0.5000 (multiplicity 2)  6 N 2.51-2.59
Sm: 0.0000 0.3330 0.5000 (multiplicity 4)  6 N 2.51-2.59
Pu: 0.0000 0.5000 0.0000 (multiplicity 2)  6 N 2.40-2.41
N: 0.2403 0.3388 0.2376 (multiplicity 8)  1 Pu 2.40, 2 Tb 2.49, 3 Sm 2.51-2.59
N: 0.2440 0.5000 0.7619 (multiplicity 4)  1 Pu 2.41, 2 Tb 2.48, 3 Sm 2.51-2.59

# 4
VASP calculation (GGA-PBE) on a relaxed structure of Fe2CoPt.

**Mass density**: 11.87 g/cm3
**VASP energy**: -7.613 eV per atom

Cell lengths 3.6738, 3.6856, 7.5575 Å; angles 90.00, 90.00, 90.00 degrees
Last column: nearest neighbours and their distance in Å.
Space group Imm2 (No. 44)
Inequivalent atoms, fractional coordinates:
Fe: 0.0000 0.0000 0.0000 (multiplicity 2)  4 Co 2.60, 4 Fe 2.63-2.64, 4 Pt 2.64
Fe: 0.0000 0.5000 0.2501 (multiplicity 2)  4 Pt 2.60, 4 Co 2.63-2.64, 4 Fe 2.63-2.64
Co: 0.0000 0.0000 0.5005 (multiplicity 2)  8 Fe 2.60-2.64, 4 Pt 2.64
Pt: 0.0000 0.5000 0.7502 (multiplicity 2)  8 Fe 2.60-2.64, 4 Co 2.64

# 5
VASP calculation (GGA-PBE) on a relaxed structure of Sc2Zn5Ni5.

**Mass density**: 6.81 g/cm3
**VASP energy**: -4.281 eV per atom

Cell lengths 3.9855, 5.0193, 8.6572 Å; angles 90.00, 90.00, 90.00 degrees
Last column: nearest neighbours and their distance in Å.
Space group Pmmm (No. 47)
Inequivalent atoms, fractional coordinates:
Sc: 0.0000 0.0000 0.0000 (multiplicity 1)  6 Zn 2.81-2.90
Sc: 0.0000 0.5000 0.5000 (multiplicity 1)  10 Zn 2.88-3.20, 8 Ni 3.22
Zn: 0.0000 0.0000 0.3241 (multiplicity 2)  4 Ni 2.45, 2 Zn 2.51
Zn: 0.0000 0.5000 0.1672 (multiplicity 2)  6 Ni 2.45-2.46
Zn: 0.5000 0.0000 0.5000 (multiplicity 1)  4 Zn 2.51, 4 Ni 2.53
Ni: 0.5000 0.2506 0.2466 (multiplicity 4)  5 Zn 2.45-2.53, 3 Ni 2.48-2.52
Ni: 0.5000 0.5000 0.0000 (multiplicity 1)  4 Zn 2.46, 4 Ni 2.48

# 6
VASP calculation (GGA-PBE) on a relaxed structure of CeDySc2.

**Excess energy over the best structure of this formula in the dataset**: 26 meV/atom
**Mass density**: 5.89 g/cm3
**VASP energy**: -5.707 eV per atom

Cell lengths 7.6193, 7.6193, 7.6193 Å; angles 90.00, 90.00, 90.00 degrees
Last column: nearest neighbours and their distance in Å.
Space group Fm-3m (No. 225)
Inequivalent atoms, fractional coordinates:
Ce: 0.0000 0.0000 0.0000 (multiplicity 4)  8 Sc 3.30
Dy: 0.0000 0.0000 0.5000 (multiplicity 4)  8 Sc 3.30
Sc: 0.2500 0.2500 0.2500 (multiplicity 8)  4 Dy 3.30, 4 Ce 3.30

# 7
VASP calculation (GGA-PBE) on a relaxed structure of ZrSc2Pd.

**Excess energy over the best structure of this formula in the dataset**: 304 meV/atom
**Mass density**: 5.39 g/cm3
**VASP energy**: -6.747 eV per atom

Cell lengths 7.7203, 7.7203, 5.9433 Å; angles 90.00, 90.00, 90.00 degrees
Last column: nearest neighbours and their distance in Å.
Space group I-42d (No. 122)
Inequivalent atoms, fractional coordinates:
Zr: 0.0000 0.0000 0.0000 (multiplicity 4)  2 Pd 2.97, 4 Sc 3.10
Sc: 0.2012 0.2500 0.6250 (multiplicity 8)  2 Pd 2.59
Pd: 0.0000 0.0000 0.5000 (multiplicity 4)  4 Sc 2.59

# 8
VASP calculation (GGA-PBE) on a relaxed structure of Cs3TbU3Se8.

**Mass density**: 5.99 g/cm3
**Uncorrected formation energy**: -1.364 eV per atom
**VASP energy**: -5.960 eV per atom

Cell lengths 8.4441, 8.4441, 25.6539 Å; angles 90.00, 90.00, 120.00 degrees
Last column: nearest neighbours and their distance in Å.
Space group R-3m (No. 166, hexagonal axes)
Inequivalent atoms, fractional coordinates:
Cs: 0.0000 0.5000 0.0000 (multiplicity 9)  6 Se 3.62-3.64
Tb: 0.0000 0.0000 0.5000 (multiplicity 3)  6 Se 2.91
U: 0.0000 0.5000 0.5000 (multiplicity 9)  6 Se 2.90-2.91
Se: 0.0000 0.0000 0.2288 (multiplicity 6)  3 U 2.91
Se: 0.0017 0.5009 0.7720 (multiplicity 18)  2 U 2.90, 1 Tb 2.91

# 9
VASP calculation (GGA-PBE) on a relaxed structure of Ag2PtO4.

**Excess energy over the best structure of this formula in the dataset**: 0 meV/atom
**Mass density**: 8.20 g/cm3
**Uncorrected formation energy**: -0.176 eV per atom
**VASP energy**: -4.686 eV per atom

Cell lengths 3.1427, 5.8139, 6.0301 Å; angles 114.10, 90.01, 105.58 degrees
Last column: nearest neighbours and their distance in Å.
Space group P-1 (No. 2)
Inequivalent atoms, fractional coordinates:
Ag: 0.1441 0.2878 0.1120 (multiplicity 2)  4 O 2.18-2.34
Pt: 0.5000 0.0000 0.5000 (multiplicity 1)  6 O 1.94-2.03
O: 0.0898 0.1803 0.4196 (multiplicity 2)  2 Pt 2.03, 1 Ag 2.18
O: 0.3645 0.7277 0.1659 (multiplicity 2)  1 Pt 1.94

# 10
VASP calculation (GGA-PBE) on a relaxed structure of CaLaTbAg.

**Mass density**: 5.95 g/cm3
**VASP energy**: -3.731 eV per atom

Cell lengths 3.6825, 3.6825, 9.1772 Å; angles 90.00, 90.00, 90.00 degrees
Last column: nearest neighbours and their distance in Å.
Space group P4mm (No. 99)
Inequivalent atoms, fractional coordinates:
Ca: 0.0000 0.0000 0.0000 (multiplicity 1)  4 Ag 3.24
La: 0.5000 0.5000 0.3270 (multiplicity 1)  4 Tb 3.64, 4 La 3.68, 4 Ca 3.97
Tb: 0.0000 0.0000 0.6034 (multiplicity 1)  4 Ag 3.12
Ag: 0.5000 0.5000 0.7907 (multiplicity 1)  4 Tb 3.12, 4 Ca 3.24

# 11
VASP calculation (GGA-PBE) on a relaxed structure of RbU2AgTe4.

**Mass density**: 7.15 g/cm3
**Uncorrected formation energy**: -0.615 eV per atom
**VASP energy**: -5.485 eV per atom

Cell lengths 4.5183, 15.3187, 15.8441 Å; angles 90.00, 90.00, 90.00 degrees
Last column: nearest neighbours and their distance in Å.
Space group Cmcm (No. 63)
Inequivalent atoms, fractional coordinates:
Rb: 0.0000 0.1208 0.2500 (multiplicity 4)  6 Te 3.52-3.66
U: 0.0000 0.3701 0.0644 (multiplicity 8)  6 Te 3.13-3.18
Ag: 0.0000 0.1600 0.7500 (multiplicity 4)  4 Te 2.77-2.81
Te: 0.0000 0.0000 0.0000 (multiplicity 4)  4 U 3.18
Te: 0.0000 0.2659 0.6054 (multiplicity 8)  1 Ag 2.81, 3 U 3.13-3.14
Te: 0.0000 0.4442 0.2500 (multiplicity 4)  2 Ag 2.77